4
Lattice="1.8811 0.0000 6.2402 -0.9405 1.6290 6.2402 -0.9405 -1.6290 6.2402" Properties=species:S:1:pos:R:3 comment="YCoO2 GGA+U optimized geometry" spacegroup="R-3m (166)" relative_energy_mev_per_atom=1083 m_tot_mub_per_fu=2.62 density_g_cm3=5.21 pbc="T T T"
Y 0.0000 0.0000 0.0000
Co 0.0000 0.0000 9.3603
O 0.0000 0.0000 16.6001
O 0.0000 0.0000 2.1205